The following is a GGA-PBE calculation of a relaxed Zr2AlRh6 crystal, from the Alexandria database.

Structure (CIF):
```
data_Zr2AlRh6
_chemical_formula_sum 'Zr4 Al2 Rh12'
_symmetry_space_group_name_H-M 'C 1 2/m 1'
_symmetry_Int_Tables_number 12
_symmetry_space_group_name_Hall '-C 2y'
_cell_length_a 13.964
_cell_length_b 7.280
_cell_length_c 3.058
_cell_angle_alpha 90.00
_cell_angle_beta 102.55
_cell_angle_gamma 90.00
loop_
_atom_site_label
_atom_site_type_symbol
_atom_site_fract_x
_atom_site_fract_y
_atom_site_fract_z
Zr1 Zr 0.160 0.000 0.163
Al1 Al 0.000 0.500 0.500
Rh1 Rh 0.000 0.227 0.000
Rh2 Rh 0.166 0.302 0.667
```

Summary:
Density ... 9.1 g/cm³
Total magnetic moment ... 0.0 μB per formula unit
V ... 16.86 Å³/atom
Energy relative to the elements ... -400 meV/atom

=====

The following is a GGA-PBE calculation of a relaxed AcSiIr crystal, from the Alexandria database.

Structure (CIF):
```
data_AcSiIr
_chemical_formula_sum 'Ac1 Si1 Ir1'
_symmetry_space_group_name_H-M 'P -6 m 2'
_symmetry_Int_Tables_number 187
_symmetry_space_group_name_Hall 'P -6 2'
_cell_length_a 4.1983
_cell_length_b 4.1983
_cell_length_c 4.6278
_cell_angle_alpha 90.00
_cell_angle_beta 90.00
_cell_angle_gamma 120.00
loop_
_atom_site_label
_atom_site_type_symbol
_atom_site_fract_x
_atom_site_fract_y
_atom_site_fract_z
Ac1 Ac 0.0000 0.0000 0.0000
Si1 Si 0.6667 0.3333 0.5000
Ir1 Ir 0.3333 0.6667 0.5000
```

Summary:
Density ... 10.5 g/cm³
Total magnetic moment ... 0.0 μB per formula unit
V ... 23.55 Å³/atom
Formation energy from raw total energies ... -0.82 eV/atom
Relative energy among the computed polymorphs ... 0.129 eV per atom

=====

The following is a GGA-PBE calculation of a relaxed KRbTe4As2 crystal, from the Alexandria database.

Structure (CIF):
```
data_KRbTe4As2
_chemical_formula_sum 'K2 Rb2 Te8 As4'
_symmetry_space_group_name_H-M 'I 2 2 2'
_symmetry_Int_Tables_number 23
_symmetry_space_group_name_Hall 'I 2 2'
_cell_length_a 6.621
_cell_length_b 8.534
_cell_length_c 9.943
_cell_angle_alpha 90.00
_cell_angle_beta 90.00
_cell_angle_gamma 90.00
loop_
_atom_site_label
_atom_site_type_symbol
_atom_site_fract_x
_atom_site_fract_y
_atom_site_fract_z
K1 K 0.000 0.000 0.000
Rb1 Rb 0.000 0.000 0.500
Te1 Te 0.249 0.250 0.250
As1 As 0.000 0.500 0.365
```

Summary:
Density ... 4.6 g/cm³
Total magnetic moment ... 0.0 μB per formula unit
V ... 35.11 Å³/atom
Formation energy from raw total energies ... -0.33 eV/atom

=====

The following is a GGA-PBE calculation of a relaxed TiAlZn2H crystal, from the Alexandria database.

Structure (CIF):
```
data_TiAlZn2H
_chemical_formula_sum 'Ti1 Al1 Zn2 H1'
_symmetry_space_group_name_H-M 'P 4/m m m'
_symmetry_Int_Tables_number 123
_symmetry_space_group_name_Hall '-P 4 2'
_cell_length_a 3.997
_cell_length_b 3.997
_cell_length_c 3.946
_cell_angle_alpha 90.00
_cell_angle_beta 90.00
_cell_angle_gamma 90.00
loop_
_atom_site_label
_atom_site_type_symbol
_atom_site_fract_x
_atom_site_fract_y
_atom_site_fract_z
Ti1 Ti 0.000 0.000 0.000
Al1 Al 0.500 0.500 0.000
Zn1 Zn 0.000 0.500 0.500
H1 H 0.000 0.000 0.500
```

Summary:
Density ... 5.4 g/cm³
Total magnetic moment ... 0.0 μB per formula unit
V ... 12.61 Å³/atom
DFT total energy ... -18.27 eV for the cell shown

=====

The following is a GGA-PBE calculation of a relaxed TiZnGaTc crystal, from the Alexandria database.

Structure (CIF):
```
data_TiZnGaTc
_chemical_formula_sum 'Ti4 Zn4 Ga4 Tc4'
_symmetry_space_group_name_H-M 'F -4 3 m'
_symmetry_Int_Tables_number 216
_symmetry_space_group_name_Hall 'F -4 2 3'
_cell_length_a 6.183
_cell_length_b 6.183
_cell_length_c 6.183
_cell_angle_alpha 90.00
_cell_angle_beta 90.00
_cell_angle_gamma 90.00
loop_
_atom_site_label
_atom_site_type_symbol
_atom_site_fract_x
_atom_site_fract_y
_atom_site_fract_z
Ti1 Ti 0.000 0.000 0.000
Zn1 Zn 0.250 0.250 0.250
Ga1 Ga 0.250 0.250 0.750
Tc1 Tc 0.000 0.000 0.500
```

Summary:
Density ... 7.9 g/cm³
Total magnetic moment ... 0.4 μB per formula unit
V ... 14.77 Å³/atom
Energy relative to the elements ... -155 meV/atom
Relative energy among the computed polymorphs ... 0.147 eV per atom

=====

The following is a GGA-PBE calculation of a relaxed KAs2Cl7 crystal, from the Alexandria database.

Structure (CIF):
```
data_KAs2Cl7
_chemical_formula_sum 'K2 As4 Cl14'
_symmetry_space_group_name_H-M 'C m m m'
_symmetry_Int_Tables_number 65
_symmetry_space_group_name_Hall '-C 2 2'
_cell_length_a 11.946
_cell_length_b 13.241
_cell_length_c 5.065
_cell_angle_alpha 90.00
_cell_angle_beta 90.00
_cell_angle_gamma 90.00
loop_
_atom_site_label
_atom_site_type_symbol
_atom_site_fract_x
_atom_site_fract_y
_atom_site_fract_z
K1 K 0.000 0.000 0.000
As1 As 0.223 0.500 0.500
Cl1 Cl 0.000 0.500 0.500
Cl2 Cl 0.151 0.131 0.500
Cl3 Cl 0.214 0.500 0.000
```

Summary:
Density ... 1.8 g/cm³
Total magnetic moment ... 0.0 μB per formula unit
V ... 40.06 Å³/atom
Formation energy from raw total energies ... -0.85 eV/atom

=====

The following is a GGA-PBE calculation of a relaxed KCuTc2 crystal, from the Alexandria database.

Structure (CIF):
```
data_KCuTc2
_chemical_formula_sum 'K4 Cu4 Tc8'
_symmetry_space_group_name_H-M 'I -4 2 d'
_symmetry_Int_Tables_number 122
_symmetry_space_group_name_Hall 'I -4 2bw'
_cell_length_a 4.525
_cell_length_b 4.525
_cell_length_c 18.935
_cell_angle_alpha 90.00
_cell_angle_beta 90.00
_cell_angle_gamma 90.00
loop_
_atom_site_label
_atom_site_type_symbol
_atom_site_fract_x
_atom_site_fract_y
_atom_site_fract_z
K1 K 0.000 0.000 0.000
Cu1 Cu 0.000 0.000 0.500
Tc1 Tc 0.041 0.750 0.625
```

Summary:
Density ... 5.1 g/cm³
Total magnetic moment ... 0.0 μB per formula unit
V ... 24.23 Å³/atom
Energy relative to the elements ... 1403 meV/atom
Relative energy among the computed polymorphs ... 0.816 eV per atom

=====

The following is a GGA-PBE calculation of a relaxed BaEr2In4 crystal, from the Alexandria database.

Structure (CIF):
```
data_BaEr2In4
_chemical_formula_sum 'Ba2 Er4 In8'
_symmetry_space_group_name_H-M 'I m m m'
_symmetry_Int_Tables_number 71
_symmetry_space_group_name_Hall '-I 2 2'
_cell_length_a 3.818
_cell_length_b 4.975
_cell_length_c 21.653
_cell_angle_alpha 90.00
_cell_angle_beta 90.00
_cell_angle_gamma 90.00
loop_
_atom_site_label
_atom_site_type_symbol
_atom_site_fract_x
_atom_site_fract_y
_atom_site_fract_z
Ba1 Ba 0.000 0.000 0.000
Er1 Er 0.000 0.500 0.198
In1 In 0.000 0.000 0.424
In2 In 0.000 0.500 0.342
```

Summary:
Density ... 7.5 g/cm³
Total magnetic moment ... 0.0 μB per formula unit
V ... 29.38 Å³/atom
Energy relative to the elements ... -377 meV/atom

=====

The following is a GGA-PBE calculation of a relaxed Ho3TcAg3O8 crystal, from the Alexandria database.

Structure (CIF):
```
data_Ho3TcAg3O8
_chemical_formula_sum 'Ho6 Tc2 Ag6 O16'
_symmetry_space_group_name_H-M 'C 1 2/m 1'
_symmetry_Int_Tables_number 12
_symmetry_space_group_name_Hall '-C 2y'
_cell_length_a 11.706
_cell_length_b 6.761
_cell_length_c 6.929
_cell_angle_alpha 90.00
_cell_angle_beta 124.49
_cell_angle_gamma 90.00
loop_
_atom_site_label
_atom_site_type_symbol
_atom_site_fract_x
_atom_site_fract_y
_atom_site_fract_z
Ho1 Ho 0.000 0.000 0.000
Ho2 Ho 0.250 0.250 0.000
Tc1 Tc 0.000 0.500 0.000
Ag1 Ag 0.000 0.500 0.500
Ag2 Ag 0.250 0.250 0.500
O1 O 0.014 0.271 0.813
O2 O 0.215 0.500 0.186
O3 O 0.229 0.000 0.187
```

Summary:
Density ... 7.7 g/cm³
Total magnetic moment ... 3.0 μB per formula unit
V ... 15.07 Å³/atom
Formation energy from raw total energies ... -1.95 eV/atom

=====

The following is a GGA-PBE calculation of a relaxed ReWCl2 crystal, from the Alexandria database.

Structure (CIF):
```
data_ReWCl2
_chemical_formula_sum 'Re1 W1 Cl2'
_symmetry_space_group_name_H-M 'P 4 m m'
_symmetry_Int_Tables_number 99
_symmetry_space_group_name_Hall 'P 4 -2'
_cell_length_a 2.948
_cell_length_b 2.948
_cell_length_c 8.791
_cell_angle_alpha 90.00
_cell_angle_beta 90.00
_cell_angle_gamma 90.00
loop_
_atom_site_label
_atom_site_type_symbol
_atom_site_fract_x
_atom_site_fract_y
_atom_site_fract_z
Re1 Re 0.000 0.000 0.000
W1 W 0.500 0.500 0.197
Cl1 Cl 0.000 0.000 0.391
Cl2 Cl 0.500 0.500 0.802
```

Summary:
Density ... 9.6 g/cm³
Total magnetic moment ... 0.0 μB per formula unit
V ... 19.10 Å³/atom
Formation energy from raw total energies ... 0.12 eV/atom
Relative energy among the computed polymorphs ... 0.302 eV per atom

=====

Q: V of number 6 (KAs2Cl7)?
A: 40.06 Å³/atom

=====

Please write out number 7 again, unchanged.
The following is a GGA-PBE calculation of a relaxed KCuTc2 crystal, from the Alexandria database.

Structure (CIF):
```
data_KCuTc2
_chemical_formula_sum 'K4 Cu4 Tc8'
_symmetry_space_group_name_H-M 'I -4 2 d'
_symmetry_Int_Tables_number 122
_symmetry_space_group_name_Hall 'I -4 2bw'
_cell_length_a 4.525
_cell_length_b 4.525
_cell_length_c 18.935
_cell_angle_alpha 90.00
_cell_angle_beta 90.00
_cell_angle_gamma 90.00
loop_
_atom_site_label
_atom_site_type_symbol
_atom_site_fract_x
_atom_site_fract_y
_atom_site_fract_z
K1 K 0.000 0.000 0.000
Cu1 Cu 0.000 0.000 0.500
Tc1 Tc 0.041 0.750 0.625
```

Summary:
Density ... 5.1 g/cm³
Total magnetic moment ... 0.0 μB per formula unit
V ... 24.23 Å³/atom
Energy relative to the elements ... 1403 meV/atom
Relative energy among the computed polymorphs ... 0.816 eV per atom

=====

Q: density of number 5 (TiZnGaTc)?
A: 7.9 g/cm³